# Pm5In3Sn3, relaxed, DFT PBE-GGA
data_Pm5In3Sn3
_cell_length_a 4.454
_cell_length_b 9.890
_cell_length_c 9.890
_cell_angle_alpha 120.00
_cell_angle_beta 90.00
_cell_angle_gamma 90.00
_symmetry_space_group_name_H-M 'P 1'
_symmetry_Int_Tables_number 1
loop_
_symmetry_equiv_pos_as_xyz
'x,y,z'
loop_
_atom_site_label
_atom_site_fract_x
_atom_site_fract_y
_atom_site_fract_z
Pm1 0.500 0.667 0.333
Sn1 0.500 0.000 0.379
Sn2 0.500 0.379 0.000
Pm2 0.500 0.723 0.000
Pm3 0.500 0.277 0.277
In1 0.000 0.182 0.000
Pm4 0.500 0.000 0.723
In2 0.000 0.818 0.818
Pm5 0.500 0.333 0.667
Sn3 0.500 0.621 0.621
In3 0.000 0.000 0.182
# Symmetry: P-62m, No. 189
# VASP energy in eV per cell: -45.7
# ΔE_f in eV/f.u.: -1.71